# 1
# Pr7DyTm2

A relaxed Pr7DyTm2 crystal (PBE, the Alexandria database).

- Formation energy from the elements: 629 meV/atom
- VASP energy: -4.071 eV/atom

Unit cell a=5.732 b=9.332 c=9.332 alpha=122.42 beta=90.00 gamma=90.00
Fractional coordinates of all 10 atoms:
Pr (0.000, 0.775, 0.225)
Pr (0.000, 0.225, 0.775)
Pr (0.500, 0.066, 0.295)
Pr (0.500, 0.934, 0.705)
Pr (0.500, 0.295, 0.066)
Pr (0.500, 0.705, 0.934)
Pr (0.500, 0.500, 0.500)
Dy (0.000, 0.000, 0.000)
Tm (0.500, 0.705, 0.295)
Tm (0.500, 0.295, 0.705)

=====

# 2
# PrDy7Tm2

A relaxed PrDy7Tm2 crystal (PBE, the Alexandria database).

- Formation energy from the elements: 695 meV/atom
- Excess energy over the best structure of this formula in the dataset: 677 meV/atom
- VASP energy: -3.899 eV/atom

Unit cell a=5.653 b=9.067 c=9.067 alpha=122.23 beta=90.00 gamma=90.00
Fractional coordinates of all 10 atoms:
Pr (0.000, 0.000, 0.000)
Dy (0.000, 0.778, 0.222)
Dy (0.000, 0.222, 0.778)
Dy (0.500, 0.060, 0.294)
Dy (0.500, 0.940, 0.706)
Dy (0.500, 0.294, 0.060)
Dy (0.500, 0.706, 0.940)
Dy (0.500, 0.500, 0.500)
Tm (0.500, 0.704, 0.296)
Tm (0.500, 0.296, 0.704)

=====

# 3
# Pr11Dy4Tm9

A relaxed Pr11Dy4Tm9 crystal (PBE, the Alexandria database).

- Formation energy from the elements: 59 meV/atom
- VASP energy: -4.576 eV/atom

Unit cell a=3.670 b=15.412 c=15.412 alpha=113.19 beta=90.00 gamma=90.00
Fractional coordinates of all 24 atoms:
Pr (0.000, 0.595, 0.958)
Pr (0.000, 0.405, 0.042)
Pr (0.000, 0.958, 0.595)
Pr (0.000, 0.042, 0.405)
Pr (0.000, 0.632, 0.368)
Pr (0.000, 0.368, 0.632)
Pr (0.000, 0.840, 0.160)
Pr (0.000, 0.160, 0.840)
Pr (0.000, 0.000, 0.000)
Pr (0.000, 0.708, 0.708)
Pr (0.000, 0.292, 0.292)
Dy (0.500, 0.556, 0.759)
Dy (0.500, 0.444, 0.241)
Dy (0.500, 0.759, 0.556)
Dy (0.500, 0.241, 0.444)
Tm (0.500, 0.631, 0.166)
Tm (0.500, 0.369, 0.834)
Tm (0.500, 0.166, 0.631)
Tm (0.500, 0.834, 0.369)
Tm (0.500, 0.787, 0.932)
Tm (0.500, 0.213, 0.068)
Tm (0.500, 0.932, 0.787)
Tm (0.500, 0.068, 0.213)
Tm (0.500, 0.500, 0.500)